Density functional theory data (GGA-PBEsol) for crystalline Ni2Mo at its relaxed geometry.

- Distance to the lowest polymorph of the same formula: 4 meV/atom
- Total moment: 0.0 μB per cell
- Space group: No. 71
- ΔE_f: -107.4 meV/atom

```
3
Lattice="-0.488 0.535 2.480 3.348 -1.047 0.884 -0.181 3.812 -2.203" Properties=species:S:1:pos:R:3 pbc="T T T"
Mo 0.000 0.000 0.000
Ni 0.827 2.353 -0.344
Ni 1.853 0.947 1.506
```

Density functional theory data (GGA-PBEsol) for crystalline NiMo at its relaxed geometry.

- Total moment: 0.0 μB per cell
- Space group: No. 129
- ΔE_f: 8.6 meV/atom

```
4
Lattice="-2.212 1.174 0.695 -0.916 -2.259 0.900 2.949 1.522 6.818" Properties=species:S:1:pos:R:3 pbc="T T T"
Mo -0.659 0.817 1.381
Mo 2.044 0.161 6.235
Ni 0.694 1.516 4.509
Ni 0.691 -0.537 3.107
```

Density functional theory data (GGA-PBEsol) for crystalline Ni5Mo at its relaxed geometry.

- Total moment: 0.3 μB per cell
- Space group: No. 38
- ΔE_f: -1.9 meV/atom

```
6
Lattice="-1.068 -2.283 0.236 1.978 -1.269 -3.319 5.501 -0.798 3.584" Properties=species:S:1:pos:R:3 pbc="T T T"
Ni 3.273 -1.278 2.439
Ni 1.142 -1.796 1.367
Ni 3.198 -1.497 -0.014
Ni 4.298 -3.277 1.322
Ni 1.068 -2.016 -1.084
Mo 4.410 -3.072 3.803
```

Density functional theory data (GGA-PBEsol) for crystalline Ni2Mo at its relaxed geometry.

- Distance to the lowest polymorph of the same formula: 81 meV/atom
- Total moment: 0.0 μB per cell
- Space group: No. 139
- ΔE_f: -30.5 meV/atom

```
3
Lattice="-2.426 0.502 -0.726 0.515 -0.920 -2.357 -0.532 -4.686 3.128" Properties=species:S:1:pos:R:3 pbc="T T T"
Ni -1.470 -1.900 -0.994
Ni -0.974 -3.204 1.038
Mo 0.000 0.000 0.000
```

Density functional theory data (GGA-PBEsol) for crystalline Ni2Mo at its relaxed geometry.

- Distance to the lowest polymorph of the same formula: 23 meV/atom
- Total moment: 0.0 μB per cell
- Space group: No. 191
- ΔE_f: -89.0 meV/atom

```
3
Lattice="2.500 0.000 0.000 0.000 4.048 0.000 0.000 -2.024 3.506" Properties=species:S:1:pos:R:3 pbc="T T T"
Ni 0.000 0.000 2.337
Ni 0.000 2.024 1.169
Mo 1.250 0.000 0.000
```

Density functional theory data (GGA-PBEsol) for crystalline Ni2Mo at its relaxed geometry.

- Distance to the lowest polymorph of the same formula: 87 meV/atom
- Total moment: 0.0 μB per cell
- Space group: No. 194
- ΔE_f: -24.6 meV/atom

```
12
Lattice="-3.992 -1.785 -1.528 3.511 -2.804 1.125 -2.577 -0.358 7.153" Properties=species:S:1:pos:R:3 pbc="T T T"
Ni -1.638 -3.428 1.263
Ni -1.421 -1.519 5.487
Ni 0.000 0.000 0.000
Ni -1.401 -1.168 1.462
Ni -1.289 -0.179 3.576
Ni -1.658 -3.780 5.288
Ni 0.309 -2.901 6.040
Ni -3.367 -2.047 0.709
Mo -0.128 -2.623 3.399
Mo -2.930 -2.325 3.350
Mo -3.918 -2.462 6.092
Mo 0.859 -2.485 0.658
```

Density functional theory data (GGA-PBEsol) for crystalline NiMo2 at its relaxed geometry.

- Total moment: 0.0 μB per cell
- Space group: No. 139
- ΔE_f: 36.2 meV/atom

```
3
Lattice="2.597 0.000 0.000 0.000 2.597 0.000 -1.299 -1.299 6.042" Properties=species:S:1:pos:R:3 pbc="T T T"
Ni 0.000 0.000 0.000
Mo 0.000 0.000 4.166
Mo 1.299 1.299 1.875
```

Density functional theory data (GGA-PBEsol) for crystalline Ni2Mo at its relaxed geometry.

- Distance to the lowest polymorph of the same formula: 0 meV/atom
- Total moment: 0.0 μB per cell
- Space group: No. 63
- ΔE_f: -111.7 meV/atom

```
6
Lattice="4.163 0.000 0.000 0.000 4.432 -0.002 0.000 2.189 3.854" Properties=species:S:1:pos:R:3 pbc="T T T"
Mo 3.122 2.616 3.120
Mo 1.041 4.005 0.732
Ni 3.122 2.555 0.608
Ni 3.122 4.830 1.932
Ni 1.041 1.791 1.920
Ni 1.041 4.067 3.244
```